[1]
This record from Alexandria describes KCuC2 after structural relaxation. The functional is GGA-PBE.

Computed properties:
The electronic total energy is -5.64 eV per atom. The energy of formation from the pure elements comes out at 274 meV/atom.

Unit cell a=4.915 b=4.915 c=7.767 alpha=90.00 beta=90.00 gamma=90.00
Element x y z (fractional)
K  0.000  0.000  0.250
K  0.000  0.000  0.750
Cu  0.500  0.500  0.000
Cu  0.500  0.500  0.500
C  0.128  0.500  0.000
C  0.500  0.128  0.500
C  0.500  0.872  0.500
C  0.872  0.500  0.000

[2]
This record from Alexandria describes DyUNi after structural relaxation. The functional is GGA-PBE.

Computed properties:
The electronic total energy is -7.13 eV per atom. The energy of formation from the pure elements comes out at 98 meV/atom.

Unit cell a=8.638 b=8.638 c=4.695 alpha=90.00 beta=90.00 gamma=159.50
Element x y z (fractional)
Dy  0.154  0.846  0.750
Dy  0.846  0.154  0.250
U  0.465  0.535  0.750
U  0.535  0.465  0.250
Ni  0.317  0.683  0.750
Ni  0.683  0.317  0.250

[3]
This record from Alexandria describes LiY2GaO5 after structural relaxation. The functional is GGA-PBE.

Computed properties:
The raw formation energy is -22.77 eV per formula unit. The electronic total energy is -7.27 eV per atom.

Unit cell a=6.461 b=6.461 c=5.686 alpha=90.00 beta=90.00 gamma=90.00
Element x y z (fractional)
Li  0.000  0.000  0.000
Li  0.500  0.500  0.000
Y  0.178  0.322  0.500
Y  0.322  0.822  0.500
Y  0.678  0.178  0.500
Y  0.822  0.678  0.500
Ga  0.000  0.500  0.000
Ga  0.500  0.000  0.000
O  0.000  0.000  0.500
O  0.139  0.639  0.242
O  0.139  0.639  0.758
O  0.361  0.139  0.242
O  0.361  0.139  0.758
O  0.500  0.500  0.500
O  0.639  0.861  0.242
O  0.639  0.861  0.758
O  0.861  0.361  0.242
O  0.861  0.361  0.758

[4]
This record from Alexandria describes La2FeSe after structural relaxation. The functional is GGA-PBE.

Computed properties:
The raw formation energy is -2.53 eV per formula unit. The electronic total energy is -6.08 eV per atom.

Unit cell a=3.679 b=3.679 c=7.293 alpha=90.00 beta=90.00 gamma=90.00
Element x y z (fractional)
La  0.000  0.000  0.236
La  0.000  0.000  0.764
Fe  0.500  0.500  0.000
Se  0.500  0.500  0.500

[5]
This record from Alexandria describes NdDyLuCd after structural relaxation. The functional is GGA-PBE.

Computed properties:
The electronic total energy is -3.75 eV per atom. The energy of formation from the pure elements comes out at -47 meV/atom.

Unit cell a=5.470 b=5.470 c=5.470 alpha=60.00 beta=60.00 gamma=60.00
Element x y z (fractional)
Nd  0.000  0.000  0.000
Dy  0.500  0.500  0.500
Lu  0.250  0.250  0.250
Cd  0.750  0.750  0.750

[6]
This record from Alexandria describes TbSmAl2Ge after structural relaxation. The functional is GGA-PBE.

Computed properties:
The electronic total energy is -4.76 eV per atom. The energy of formation from the pure elements comes out at -470 meV/atom.

Unit cell a=6.924 b=6.924 c=6.924 alpha=143.55 beta=142.81 gamma=53.06
Element x y z (fractional)
Tb  0.000  0.000  0.000
Sm  0.746  0.246  0.500
Al  0.347  0.847  0.500
Al  0.482  0.482  0.000
Ge  0.147  0.647  0.500

| no. | calculated density (kg/m³) |
| --- | --- |
| 1 | 2242 |
| 2 | 12430 |
| 3 | 4680 |
| 4 | 6941 |
| 5 | 8524 |
| 6 | 6109 |